# Sr3AsIr

Sr3AsIr at its PBEsol-relaxed geometry (meta-GGA SCAN, Alexandria).

a = 5.6750 Å, b = 5.6750 Å, c = 5.6750 Å
α = 90.00°, β = 90.00°, γ = 90.00°
Atoms (fractional coordinates):
Sr  0.0000  0.5000  0.0000
Sr  0.0000  0.0000  0.5000
Sr  0.5000  0.0000  0.0000
As  0.0000  0.0000  0.0000
Ir  0.5000  0.5000  0.5000

For the size of the total moment, the calculation gives 0.2 Bohr magnetons per cell. Its energy is -157.7 eV for the cell shown. The crystal system is cubic.